KSrBiWO6 PBE with a Hubbard U optimized geometry; raw total energy = -6.37 eV/atom; V = 156 Å³ per cell
1.0
0.000 4.273 4.273
4.273 0.000 4.273
4.273 4.273 0.000
K Sr Bi W O
1 1 1 1 6
direct
0.000 0.000 0.000
0.500 0.500 0.500
0.250 0.250 0.250
0.750 0.750 0.750
0.522 0.522 0.978
0.522 0.978 0.522
0.522 0.978 0.978
0.978 0.522 0.522
0.978 0.522 0.978
0.978 0.978 0.522